1.
Density functional theory data (PBEsol) for a relaxed structure of SrBi3I3O4.

Geometry as extended XYZ:
```
11
Lattice="-0.646 2.312 3.219 -2.199 -2.922 1.658 14.415 -5.591 4.405" Properties=species:S:1:pos:R:3 pbc="T T T"
O 2.442 -0.099 3.065
O 1.665 -2.716 2.285
O 9.198 -6.134 6.252
O 9.974 -3.517 7.033
Bi 1.820 -0.826 0.959
Bi 2.389 -2.035 4.445
Bi 9.654 -5.332 8.272
I 5.201 -2.360 2.739
I 6.151 -3.742 6.427
I -1.180 -0.415 2.566
Sr 9.114 -4.136 4.800
```

**Space group**: I4mm, No. 107
**VASP energy**: -55.8 eV for the cell shown
**Raw formation energy**: -1.35 eV per atom

2.
Density functional theory data (PBEsol) for a relaxed structure of GaAg2H2.

Geometry as extended XYZ:
```
5
Lattice="-0.482 -2.405 2.660 3.544 0.090 0.724 -2.228 4.597 1.293" Properties=species:S:1:pos:R:3 pbc="T T T"
H -0.590 0.517 2.822
H 1.423 1.765 1.854
Ag -0.481 2.370 2.056
Ag 1.314 -0.088 2.620
Ga 0.000 0.000 0.000
```

**Space group**: I4/mmm, No. 139
**VASP energy**: -14.9 eV for the cell shown